Crystalline Y3HoHg4 at its relaxed geometry, computed with GGA-PBE.

The space group is P4/mmm (No. 123) and the conventional cell measures 3.723, 3.723 and 14.902 Å, with angles of 90.00, 90.00 and 90.00 degrees. The inequivalent atoms are Y at (0.000, 0.000, 0.000), Y at (0.000, 0.000, 0.251), Ho at (0.000, 0.000, 0.500), Hg at (0.500, 0.500, 0.125) and Hg at (0.500, 0.500, 0.377).

Its energy is -3.650 eV/atom.

***

Crystalline YHoHg at its relaxed geometry, computed with GGA-PBE.

The space group is P3m1 (No. 156) and the conventional cell measures 5.1316, 5.1316 and 3.7028 Å, with angles of 90.00, 90.00 and 120.00 degrees. The inequivalent atoms are Y at (0.0000, 0.0000, 0.0000), Ho at (0.3333, 0.6667, 0.4659) and Hg at (0.6667, 0.3333, 0.6920).

The energy above the most stable polymorph in this dataset is 193 meV per atom.

***

Crystalline Y2HoHg at its relaxed geometry, computed with GGA-PBE.

The space group is P4/mmm (No. 123) and the conventional cell measures 5.333, 5.333 and 3.976 Å, with angles of 90.00, 90.00 and 90.00 degrees. The inequivalent atoms are Y at (0.000, 0.500, 0.000), Ho at (0.000, 0.000, 0.500) and Hg at (0.500, 0.500, 0.500).

The energy above the most stable polymorph in this dataset is 114 meV per atom.

***

Crystalline YHo4Hg4 at its relaxed geometry, computed with GGA-PBE.

The space group is P4_2/n (No. 86, origin choice 2) and the conventional cell measures 9.532, 9.532 and 5.468 Å, with angles of 90.00, 90.00 and 90.00 degrees. The inequivalent atoms are Y at (0.250, 0.250, 0.250), Ho at (0.100, 0.841, 0.655) and Hg at (0.046, 0.147, 0.848).

Its energy is -3.139 eV/atom.

***

Crystalline YHo5Hg4 at its relaxed geometry, computed with GGA-PBE.

The space group is P4/mmm (No. 123) and the conventional cell measures 3.668, 3.668 and 20.014 Å, with angles of 90.00, 90.00 and 90.00 degrees. The inequivalent atoms are Y at (0.000, 0.000, 0.000), Ho at (0.500, 0.500, 0.124), Ho at (0.500, 0.500, 0.312), Ho at (0.500, 0.500, 0.500), Hg at (0.000, 0.000, 0.216) and Hg at (0.000, 0.000, 0.405).

Its energy is -3.428 eV/atom.

***

Crystalline Y2HoHg at its relaxed geometry, computed with GGA-PBE.

The space group is Amm2 (No. 38) and the conventional cell measures 3.542, 3.491 and 19.345 Å, with angles of 90.00, 90.00 and 90.00 degrees. The inequivalent atoms are Y at (0.000, 0.000, 0.000), Y at (0.500, 0.000, 0.367), Ho at (0.000, 0.000, 0.210) and Hg at (0.500, 0.000, 0.608).

The energy above the most stable polymorph in this dataset is 127 meV per atom.

***

Crystalline Y4HoHg5 at its relaxed geometry, computed with GGA-PBE.

The space group is P4/mmm (No. 123) and the conventional cell measures 3.723, 3.723 and 18.635 Å, with angles of 90.00, 90.00 and 90.00 degrees. The inequivalent atoms are Y at (0.000, 0.000, 0.100), Y at (0.000, 0.000, 0.301), Ho at (0.000, 0.000, 0.500), Hg at (0.500, 0.500, 0.000), Hg at (0.500, 0.500, 0.200) and Hg at (0.500, 0.500, 0.402).

Its energy is -3.700 eV/atom.

***

Crystalline Y5HoHg6 at its relaxed geometry, computed with GGA-PBE.

The space group is P2/m (No. 10) and the conventional cell measures 5.253, 7.463 and 8.321 Å, with angles of 90.00, 108.09 and 90.00 degrees. The inequivalent atoms are Y at (0.000, 0.000, 0.000), Y at (0.333, 0.000, 0.666), Y at (0.333, 0.500, 0.667), Ho at (0.000, 0.500, 0.000), Hg at (0.166, 0.251, 0.332) and Hg at (0.500, 0.252, 0.000).

Its energy is -3.732 eV/atom.

***

Crystalline Ho3ZnHg at its relaxed geometry, computed with GGA-PBE.

The space group is P6_3/mmc (No. 194) and the conventional cell measures 8.1119, 8.1119 and 4.7835 Å, with angles of 90.00, 90.00 and 120.00 degrees. The inequivalent atoms are Ho at (0.1918, 0.3835, 0.2500), Zn at (0.0000, 0.0000, 0.0000) and Hg at (0.3333, 0.6667, 0.7500).

The energy above the most stable polymorph in this dataset is 157 meV per atom.

***

Crystalline Ho4Zn2Hg at its relaxed geometry, computed with GGA-PBE.

The space group is R-3m (No. 166, hexagonal axes) and the conventional cell measures 4.9025, 4.9025 and 27.3843 Å, with angles of 90.00, 90.00 and 120.00 degrees. The inequivalent atoms are Ho at (0.0000, 0.0000, 0.1185), Ho at (0.0000, 0.0000, 0.2973), Zn at (0.0000, 0.0000, 0.4026) and Hg at (0.0000, 0.0000, 0.5000).

The energy above the most stable polymorph in this dataset is 131 meV per atom.

***

Crystalline Ho4ZnHg at its relaxed geometry, computed with GGA-PBE.

The space group is P4/mmm (No. 123) and the conventional cell measures 4.966, 4.966 and 7.156 Å, with angles of 90.00, 90.00 and 90.00 degrees. The inequivalent atoms are Ho at (0.000, 0.500, 0.242), Zn at (0.000, 0.000, 0.000) and Hg at (0.500, 0.500, 0.500).

The energy above the most stable polymorph in this dataset is 207 meV per atom.

***

Crystalline Ho6Zn5Hg at its relaxed geometry, computed with GGA-PBE.

The space group is Cmmm (No. 65) and the conventional cell measures 5.054, 15.184 and 7.187 Å, with angles of 90.00, 90.00 and 90.00 degrees. The inequivalent atoms are Ho at (0.000, 0.000, 0.243), Ho at (0.000, 0.331, 0.246), Zn at (0.000, 0.167, 0.000), Zn at (0.000, 0.169, 0.500), Zn at (0.000, 0.500, 0.000) and Hg at (0.000, 0.500, 0.500).

Its energy is -3.208 eV/atom.

***

Crystalline Ho3Zn3Hg at its relaxed geometry, computed with GGA-PBE.

The space group is Imm2 (No. 44) and the conventional cell measures 3.619, 4.501 and 19.561 Å, with angles of 90.00, 90.00 and 90.00 degrees. The inequivalent atoms are Ho at (0.000, 0.000, 0.000), Ho at (0.000, 0.000, 0.392), Ho at (0.000, 0.500, 0.188), Zn at (0.000, 0.000, 0.553), Zn at (0.000, 0.000, 0.842), Zn at (0.000, 0.500, 0.623) and Hg at (0.000, 0.500, 0.760).

Its energy is -2.878 eV/atom.

***

Crystalline HoZnHg3 at its relaxed geometry, computed with GGA-PBE.

The space group is Pnma (No. 62) and the conventional cell measures 9.105, 4.583 and 11.016 Å, with angles of 90.00, 90.00 and 90.00 degrees. The inequivalent atoms are Ho at (0.227, 0.250, 0.004), Zn at (0.124, 0.250, 0.340), Hg at (0.053, 0.250, 0.594), Hg at (0.078, 0.750, 0.856) and Hg at (0.144, 0.750, 0.187).

Its energy is -1.562 eV/atom.

***

Crystalline Ho3ZnHg2 at its relaxed geometry, computed with GGA-PBE.

The space group is P-3m1 (No. 164) and the conventional cell measures 5.1663, 5.1663 and 12.7411 Å, with angles of 90.00, 90.00 and 120.00 degrees. The inequivalent atoms are Ho at (0.0000, 0.0000, 0.2449), Ho at (0.3333, 0.6667, 0.4127), Ho at (0.3333, 0.6667, 0.9183), Zn at (0.3333, 0.6667, 0.1661), Hg at (0.0000, 0.0000, 0.0000), Hg at (0.0000, 0.0000, 0.5000) and Hg at (0.3333, 0.6667, 0.6729).

The energy above the most stable polymorph in this dataset is 10 meV per atom.

***

Crystalline Ho6ZnHg2 at its relaxed geometry, computed with GGA-PBE.

The space group is Immm (No. 71) and the conventional cell measures 5.011, 7.113 and 15.080 Å, with angles of 90.00, 90.00 and 90.00 degrees. The inequivalent atoms are Ho at (0.000, 0.244, 0.000), Ho at (0.000, 0.254, 0.336), Zn at (0.000, 0.500, 0.500) and Hg at (0.000, 0.500, 0.167).

Its energy is -3.330 eV/atom.

***

Crystalline Ho3Zn3Hg2 at its relaxed geometry, computed with GGA-PBE.

The space group is P-62m (No. 189) and the conventional cell measures 7.0466, 7.0466 and 4.3058 Å, with angles of 90.00, 90.00 and 120.00 degrees. The inequivalent atoms are Ho at (0.0000, 0.6222, 0.0000), Zn at (0.0000, 0.2180, 0.5000) and Hg at (0.3333, 0.6667, 0.5000).

Its energy is -2.553 eV/atom.

***

Crystalline Ho3ZnHg2 at its relaxed geometry, computed with GGA-PBE.

The space group is P4/mmm (No. 123) and the conventional cell measures 3.630, 3.630 and 11.104 Å, with angles of 90.00, 90.00 and 90.00 degrees. The inequivalent atoms are Ho at (0.000, 0.000, 0.000), Ho at (0.000, 0.000, 0.345), Zn at (0.500, 0.500, 0.500) and Hg at (0.500, 0.500, 0.174).

The energy above the most stable polymorph in this dataset is 0 meV per atom.

***

Crystalline Ho4Zn2Hg5 at its relaxed geometry, computed with GGA-PBE.

The space group is P2/m (No. 10) and the conventional cell measures 7.662, 3.642 and 9.441 Å, with angles of 90.00, 92.09 and 90.00 degrees. The inequivalent atoms are Ho at (0.188, 0.000, 0.366), Ho at (0.254, 0.000, 0.921), Zn at (0.062, 0.500, 0.125), Hg at (0.155, 0.500, 0.644), Hg at (0.431, 0.500, 0.171) and Hg at (0.500, 0.500, 0.500).

Its energy is -2.403 eV/atom.

***

Crystalline HoZnHg2 at its relaxed geometry, computed with GGA-PBE.

The space group is Fm-3m (No. 225) and the conventional cell measures 7.053, 7.053 and 7.053 Å, with angles of 90.00, 90.00 and 90.00 degrees. The inequivalent atoms are Ho at (0.000, 0.000, 0.000), Zn at (0.000, 0.000, 0.500) and Hg at (0.250, 0.250, 0.250).

The energy above the most stable polymorph in this dataset is 0 meV per atom.

***

The evaluated size of the total moment for the records listed, in turn: 0.000 0.000 0.000 0.000 0.000 0.701 0.000 0.000 0.000 0.006 0.000 0.002 0.000 0.000 0.001 0.000 0.003 0.010 0.000 0.000 μB/f.u..